No. 1
BeMoPb2 | PBE | optimized geometry

Values from the calculation:
calculated volume = 83.5 Å³ per cell
DOS at the Fermi energy = 3.81 states/eV per cell
crystal system = tetragonal
uncorrected energy = -4.501 eV/atom
energy of formation from the pure elements = 3.97 eV per formula unit

a b c (Å): 3.165 3.165 8.334
angles (deg): 90.00 90.00 90.00
Space group P4/mmm (No. 123)
Asymmetric unit:
Be (0.000, 0.000, 0.000) (multiplicity 1)
Mo (0.000, 0.000, 0.500) (multiplicity 1)
Pb (0.500, 0.500, 0.245) (multiplicity 2)

***

No. 2
RbTl2Sn3O8 | PBE | optimized geometry

Values from the calculation:
uncorrected formation energy = -18.5 eV/f.u.
calculated volume = 771.9 Å³ per cell
DOS at the Fermi energy = 8.43 states/eV per cell
crystal system = trigonal
uncorrected energy = -5.417 eV/atom

a b c (Å): 6.5351 6.5351 20.8689
angles (deg): 90.00 90.00 120.00
Space group R3m (No. 160, hexagonal axes)
Asymmetric unit:
Rb (0.0000, 0.0000, 0.0000) (multiplicity 3)
Tl (0.0000, 0.0000, 0.3432) (multiplicity 3)
Tl (0.0000, 0.0000, 0.7723) (multiplicity 3)
Sn (0.0035, 0.5017, 0.8632) (multiplicity 9)
O (0.0000, 0.0000, 0.1407) (multiplicity 3)
O (0.0000, 0.0000, 0.5805) (multiplicity 3)
O (0.0388, 0.5194, 0.1423) (multiplicity 9)
O (0.1830, 0.3660, 0.9142) (multiplicity 9)

***

No. 3
LaTa2Pt | PBE | optimized geometry

Values from the calculation:
calculated volume = 86.6 Å³ per cell
DOS at the Fermi energy = 5.30 states/eV per cell
crystal system = tetragonal
relative energy among the computed polymorphs = 272 meV/atom
uncorrected energy = -8.559 eV/atom
energy of formation from the pure elements = 0.44 eV per formula unit

a b c (Å): 3.425 3.425 7.379
angles (deg): 90.00 90.00 90.00
Space group P4/mmm (No. 123)
Asymmetric unit:
La (0.000, 0.000, 0.000) (multiplicity 1)
Ta (0.500, 0.500, 0.319) (multiplicity 2)
Pt (0.000, 0.000, 0.500) (multiplicity 1)

***

No. 4
CdTe3 | PBE | optimized geometry

Values from the calculation:
uncorrected formation energy = 1.2 eV/f.u.
calculated volume = 113.6 Å³ per cell
DOS at the Fermi energy = 2.84 states/eV per cell
crystal system = cubic
uncorrected energy = -2.289 eV/atom

a b c (Å): 4.843 4.843 4.843
angles (deg): 90.00 90.00 90.00
Space group Pm-3m (No. 221)
Asymmetric unit:
Cd (0.000, 0.000, 0.000) (multiplicity 1)
Te (0.000, 0.500, 0.500) (multiplicity 3)